! PBE Cs2Tl2In, relaxed; values from VASP
! E_tot = -1.636 eV/atom
! Crystal system = tetragonal
! Density = 5.552 g cm⁻³
! DFT formation energy = 199 meV/atom
! Energy relative to the lowest polymorph listed for this composition = 305 meV/atom
&SYSTEM
  ibrav = 0, nat = 10, ntyp = 3
/
ATOMIC_SPECIES
Cs 132.91 Cs.upf
Tl 204.38 Tl.upf
In 114.82 In.upf
CELL_PARAMETERS angstrom
11.390 0.000 0.000
0.000 11.390 0.000
0.000 0.000 3.640
ATOMIC_POSITIONS crystal
Cs 0.305 0.805 0.000
Cs 0.805 0.695 0.000
Cs 0.695 0.195 0.000
Cs 0.195 0.305 0.000
Tl 0.098 0.598 0.500
Tl 0.598 0.902 0.500
Tl 0.902 0.402 0.500
Tl 0.402 0.098 0.500
In 0.000 0.000 0.000
In 0.500 0.500 0.000